Below is a relaxed structure of YTeMoO2, with properties calculated at the PBE with a Hubbard U level.

The uncorrected energy is -25.3 eV/cell. The value obtained for the magnetic moment is 4.72 μB/cell.

Unit cell a=4.2818 b=4.2818 c=6.0384 alpha=90.00 beta=90.00 gamma=90.00
Space group P4/mmm (No. 123)
Asymmetric unit:
Y  0.0000  0.0000  0.0000
Te  0.0000  0.0000  0.5000
Mo  0.5000  0.5000  0.0000
O  0.0000  0.5000  0.5000

---

Below is a relaxed structure of Y2Te3MoO12, with properties calculated at the PBE with a Hubbard U level.

The uncorrected energy is -495.2 eV/cell. The value obtained for the magnetic moment is 0.00 μB/cell.

Unit cell a=18.1744 b=11.2091 c=5.2701 alpha=90.00 beta=90.00 gamma=90.00
Space group Pnma (No. 62)
Asymmetric unit:
Y  0.0597  0.0779  0.2448
Te  0.0461  0.7500  0.2825
Te  0.1658  0.5853  0.7276
Mo  0.1764  0.2500  0.7447
O  0.0090  0.6148  0.0992
O  0.0355  0.2500  0.4806
O  0.0696  0.5640  0.5779
O  0.1184  0.2500  0.0286
O  0.1387  0.7500  0.8540
O  0.1549  0.5115  0.0418
O  0.1683  0.1176  0.5452
O  0.2331  0.7500  0.3601

---

Below is a relaxed structure of ZnTe2MoO8, with properties calculated at the PBE with a Hubbard U level.

The uncorrected energy is -66.5 eV/cell. The value obtained for the magnetic moment is 0.00 μB/cell.

Unit cell a=6.3595 b=6.3595 c=5.4789 alpha=90.00 beta=90.00 gamma=120.00
Space group P-3m1 (No. 164)
Asymmetric unit:
Zn  0.0000  0.0000  0.0000
Te  0.3333  0.6667  0.7083
Mo  0.0000  0.0000  0.5000
O  0.1386  0.2773  0.7224
O  0.3333  0.6667  0.3782

---

Below is a relaxed structure of ThMo2O8, with properties calculated at the PBE with a Hubbard U level.

The uncorrected energy is -159.5 eV/cell. The value obtained for the magnetic moment is 0.00 μB/cell.

Unit cell a=5.1154 b=5.1154 c=11.1780 alpha=90.00 beta=90.00 gamma=90.00
Space group I422 (No. 97)
Asymmetric unit:
Th  0.0000  0.0000  0.0000
Mo  0.0000  0.5000  0.2500
O  0.1954  0.2960  0.8606

---

Below is a relaxed structure of ThMoO5, with properties calculated at the PBE with a Hubbard U level.

The uncorrected energy is -227.5 eV/cell. The value obtained for the magnetic moment is 0.00 μB/cell.

Unit cell a=8.8206 b=9.2507 c=8.4890 alpha=90.00 beta=118.23 gamma=90.00
Space group C2/c (No. 15)
Asymmetric unit:
Th  0.0000  0.0000  0.0000
Mo  0.0000  0.3667  0.2500
O  0.0000  0.0483  0.7500
O  0.0049  0.2528  0.0812
O  0.1904  0.4764  0.3490

---

Below is a relaxed structure of ThMo2O8, with properties calculated at the PBE with a Hubbard U level.

The uncorrected energy is -773.0 eV/cell. The value obtained for the magnetic moment is 0.00 μB/cell.

Unit cell a=18.0659 b=18.0659 c=6.2842 alpha=90.00 beta=90.00 gamma=120.00
Space group P-3 (No. 147)
Asymmetric unit:
Th  0.0000  0.0000  0.0000
Th  0.0006  0.6669  0.7533
Th  0.3333  0.6667  0.5107
Mo  0.0663  0.2307  0.7417
Mo  0.1028  0.5044  0.7429
Mo  0.1713  0.7345  0.2405
O  0.0177  0.2657  0.9349
O  0.0308  0.1180  0.7929
O  0.0341  0.2442  0.4823
O  0.0415  0.5549  0.6998
O  0.0765  0.4520  0.9957
O  0.0804  0.4268  0.5395
O  0.0979  0.7029  0.4571
O  0.1135  0.8210  0.7681
O  0.1137  0.6842  0.0022
O  0.1528  0.3761  0.2133
O  0.2166  0.5835  0.7241
O  0.2492  0.7009  0.3015

---

Below is a relaxed structure of ThMo2O6, with properties calculated at the PBE with a Hubbard U level.

The uncorrected energy is -145.2 eV/cell. The value obtained for the magnetic moment is 8.00 μB/cell.

Unit cell a=5.3267 b=9.2844 c=5.1012 alpha=90.00 beta=90.07 gamma=90.00
Space group C2/m (No. 12)
Asymmetric unit:
Th  0.0000  0.0000  0.0000
Mo  0.0000  0.3336  0.5000
O  0.1475  0.5000  0.2742
O  0.1770  0.1754  0.2753

---

Below is a relaxed structure of ThMo2O8, with properties calculated at the PBE with a Hubbard U level.

The uncorrected energy is -687.2 eV/cell. The value obtained for the magnetic moment is 0.00 μB/cell.

Unit cell a=10.1458 b=14.8474 c=10.3940 alpha=90.00 beta=90.00 gamma=90.00
Space group Pbca (No. 61)
Asymmetric unit:
Th  0.2178  0.1085  0.0312
Mo  0.0025  0.0559  0.7196
Mo  0.1639  0.6570  0.3915
O  0.0091  0.1750  0.0856
O  0.0973  0.1242  0.8279
O  0.1014  0.0149  0.1847
O  0.1017  0.6221  0.8853
O  0.1085  0.5133  0.1240
O  0.1994  0.5423  0.4341
O  0.2092  0.6746  0.2260
O  0.2443  0.2329  0.4913